[1]
Material: Ta2MoW6
Method: DFT, GGA-PBE
State: relaxed

Output
* raw total energy: -12.2915 eV per atom
* DOS(E_F): 0.486 states/eV per atom
* E above lowest polymorph: 0.000 eV/atom

Structure (CIF):
```
data_Ta2MoW6
_space_group_name_H-M_alt 'C 1 2/m 1'
_space_group_IT_number 12
_space_group_name_Hall '-C 2y'
_cell_length_a 13.5021
_cell_length_b 8.2610
_cell_length_c 2.7253
_cell_angle_alpha 90.00
_cell_angle_beta 94.75
_cell_angle_gamma 90.00
loop_
_atom_site_label
_atom_site_type_symbol
_atom_site_fract_x
_atom_site_fract_y
_atom_site_fract_z
_atom_site_occupancy
Ta1 Ta 0.1681 0.0000 0.4901 1
Mo1 Mo 0.0000 0.5000 0.5000 1
W1 W 0.0000 0.1731 0.0000 1
W2 W 0.1662 0.3297 0.8098 1
```

---

[2]
Material: TaMo2W
Method: DFT, GGA-PBE
State: relaxed

Output
* raw total energy: -10.7804 eV per atom
* DOS(E_F): 0.767 states/eV per atom
* E above lowest polymorph: 0.986 eV/atom

Structure (CIF):
```
data_TaMo2W
_space_group_name_H-M_alt 'I m m m'
_space_group_IT_number 71
_space_group_name_Hall '-I 2 2'
_cell_length_a 3.0205
_cell_length_b 4.4979
_cell_length_c 10.5030
_cell_angle_alpha 90.00
_cell_angle_beta 90.00
_cell_angle_gamma 90.00
loop_
_atom_site_label
_atom_site_type_symbol
_atom_site_fract_x
_atom_site_fract_y
_atom_site_fract_z
_atom_site_occupancy
Ta1 Ta 0.0000 0.0000 0.0000 1
Mo1 Mo 0.0000 0.0000 0.2572 1
W1 W 0.0000 0.0000 0.5000 1
```

---

[3]
Material: TaMo4W
Method: DFT, GGA-PBE
State: relaxed

Output
* raw total energy: -11.2237 eV per atom
* DOS(E_F): 0.701 states/eV per atom
* E above lowest polymorph: 0.214 eV/atom

Structure (CIF):
```
data_TaMo4W
_space_group_name_H-M_alt 'C c c m'
_space_group_IT_number 66
_space_group_name_Hall '-C 2 2c'
_cell_length_a 5.4555
_cell_length_b 8.1227
_cell_length_c 8.9481
_cell_angle_alpha 90.00
_cell_angle_beta 90.00
_cell_angle_gamma 90.00
loop_
_atom_site_label
_atom_site_type_symbol
_atom_site_fract_x
_atom_site_fract_y
_atom_site_fract_z
_atom_site_occupancy
Ta1 Ta 0.2500 0.2500 0.0000 1
Mo1 Mo 0.0000 0.1666 0.2500 1
Mo2 Mo 0.2493 0.4145 0.5000 1
W1 W 0.0000 0.5000 0.2500 1
```

---

[4]
Material: YTa2Mo
Method: DFT, GGA-PBE
State: relaxed

Output
* raw total energy: -9.9344 eV per atom
* DOS(E_F): 1.022 states/eV per atom
* E above lowest polymorph: 0.139 eV/atom

Structure (CIF):
```
data_YTa2Mo
_space_group_name_H-M_alt 'I m m 2'
_space_group_IT_number 44
_space_group_name_Hall 'I 2 -2'
_cell_length_a 3.3501
_cell_length_b 4.8784
_cell_length_c 9.7378
_cell_angle_alpha 90.00
_cell_angle_beta 90.00
_cell_angle_gamma 90.00
loop_
_atom_site_label
_atom_site_type_symbol
_atom_site_fract_x
_atom_site_fract_y
_atom_site_fract_z
_atom_site_occupancy
Y1 Y 0.0000 0.0000 0.0000 1
Ta1 Ta 0.0000 0.0000 0.4593 1
Ta2 Ta 0.0000 0.5000 0.2302 1
Mo1 Mo 0.0000 0.5000 0.7523 1
```

---

[5]
Material: YTa2Mo
Method: DFT, GGA-PBE
State: relaxed

Output
* raw total energy: -9.9437 eV per atom
* DOS(E_F): 1.224 states/eV per atom
* E above lowest polymorph: 0.130 eV/atom

Structure (CIF):
```
data_YTa2Mo
_space_group_name_H-M_alt 'P 1 m 1'
_space_group_IT_number 6
_space_group_name_Hall 'P -2y'
_cell_length_a 2.9793
_cell_length_b 4.5649
_cell_length_c 6.0817
_cell_angle_alpha 90.00
_cell_angle_beta 102.15
_cell_angle_gamma 90.00
loop_
_atom_site_label
_atom_site_type_symbol
_atom_site_fract_x
_atom_site_fract_y
_atom_site_fract_z
_atom_site_occupancy
Y1 Y 0.0000 0.0000 0.0000 1
Ta1 Ta 0.2838 0.5000 0.6976 1
Ta2 Ta 0.5954 0.0000 0.4828 1
Mo1 Mo 0.7901 0.5000 0.2799 1
```

---

[6]
Material: YTa2Mo
Method: DFT, GGA-PBE
State: relaxed

Output
* raw total energy: -9.8855 eV per atom
* DOS(E_F): 0.938 states/eV per atom
* E above lowest polymorph: 0.188 eV/atom

Structure (CIF):
```
data_YTa2Mo
_space_group_name_H-M_alt 'R -3 m'
_space_group_IT_number 166
_space_group_name_Hall '-R 3 2"'
_cell_length_a 3.1646
_cell_length_b 3.1646
_cell_length_c 28.1936
_cell_angle_alpha 90.00
_cell_angle_beta 90.00
_cell_angle_gamma 120.00
loop_
_atom_site_label
_atom_site_type_symbol
_atom_site_fract_x
_atom_site_fract_y
_atom_site_fract_z
_atom_site_occupancy
Y1 Y 0.0000 0.0000 0.0000 1
Ta1 Ta 0.0000 0.0000 0.2375 1
Mo1 Mo 0.0000 0.0000 0.5000 1
```

---

[7]
Material: YTa2Mo
Method: DFT, GGA-PBE
State: relaxed

Output
* raw total energy: -9.7586 eV per atom
* DOS(E_F): 1.337 states/eV per atom
* E above lowest polymorph: 0.315 eV/atom

Structure (CIF):
```
data_YTa2Mo
_space_group_name_H-M_alt 'P m m m'
_space_group_IT_number 47
_space_group_name_Hall '-P 2 2'
_cell_length_a 2.8497
_cell_length_b 4.8565
_cell_length_c 5.7028
_cell_angle_alpha 90.00
_cell_angle_beta 90.00
_cell_angle_gamma 90.00
loop_
_atom_site_label
_atom_site_type_symbol
_atom_site_fract_x
_atom_site_fract_y
_atom_site_fract_z
_atom_site_occupancy
Y1 Y 0.0000 0.0000 0.0000 1
Ta1 Ta 0.5000 0.5000 0.2628 1
Mo1 Mo 0.0000 0.0000 0.5000 1
```

---

[8]
Material: YTa2Mo
Method: DFT, GGA-PBE
State: relaxed

Output
* raw total energy: -9.3256 eV per atom
* DOS(E_F): 1.356 states/eV per atom
* E above lowest polymorph: 0.748 eV/atom

Structure (CIF):
```
data_YTa2Mo
_space_group_name_H-M_alt 'I -4 2 d'
_space_group_IT_number 122
_space_group_name_Hall 'I -4 2bw'
_cell_length_a 4.0869
_cell_length_b 4.0869
_cell_length_c 20.3268
_cell_angle_alpha 90.00
_cell_angle_beta 90.00
_cell_angle_gamma 90.00
loop_
_atom_site_label
_atom_site_type_symbol
_atom_site_fract_x
_atom_site_fract_y
_atom_site_fract_z
_atom_site_occupancy
Y1 Y 0.0000 0.0000 0.0000 1
Ta1 Ta 0.2351 0.2500 0.6250 1
Mo1 Mo 0.0000 0.0000 0.5000 1
```

---

[9]
Material: YTa2Mo
Method: DFT, GGA-PBE
State: relaxed

Output
* raw total energy: -9.9849 eV per atom
* DOS(E_F): 1.311 states/eV per atom
* E above lowest polymorph: 0.089 eV/atom

Structure (CIF):
```
data_YTa2Mo
_space_group_name_H-M_alt 'I m m m'
_space_group_IT_number 71
_space_group_name_Hall '-I 2 2'
_cell_length_a 3.2857
_cell_length_b 5.0017
_cell_length_c 9.7837
_cell_angle_alpha 90.00
_cell_angle_beta 90.00
_cell_angle_gamma 90.00
loop_
_atom_site_label
_atom_site_type_symbol
_atom_site_fract_x
_atom_site_fract_y
_atom_site_fract_z
_atom_site_occupancy
Y1 Y 0.0000 0.0000 0.0000 1
Ta1 Ta 0.0000 0.5000 0.2216 1
Mo1 Mo 0.0000 0.0000 0.5000 1
```

---

[10]
Material: YTa2Mo
Method: DFT, GGA-PBE
State: relaxed

Output
* raw total energy: -10.0015 eV per atom
* DOS(E_F): 1.335 states/eV per atom
* E above lowest polymorph: 0.072 eV/atom

Structure (CIF):
```
data_YTa2Mo
_space_group_name_H-M_alt 'C m m m'
_space_group_IT_number 65
_space_group_name_Hall '-C 2 2'
_cell_length_a 3.2925
_cell_length_b 4.9702
_cell_length_c 9.7682
_cell_angle_alpha 90.00
_cell_angle_beta 90.00
_cell_angle_gamma 90.00
loop_
_atom_site_label
_atom_site_type_symbol
_atom_site_fract_x
_atom_site_fract_y
_atom_site_fract_z
_atom_site_occupancy
Y1 Y 0.0000 0.0000 0.0000 1
Ta1 Ta 0.0000 0.5000 0.2854 1
Mo1 Mo 0.0000 0.0000 0.5000 1
```

---

[11]
Material: YTa2Mo
Method: DFT, GGA-PBE
State: relaxed

Output
* raw total energy: -9.7352 eV per atom
* DOS(E_F): 1.587 states/eV per atom
* E above lowest polymorph: 0.338 eV/atom

Structure (CIF):
```
data_YTa2Mo
_space_group_name_H-M_alt 'C m m m'
_space_group_IT_number 65
_space_group_name_Hall '-C 2 2'
_cell_length_a 5.6470
_cell_length_b 9.9087
_cell_length_c 2.8146
_cell_angle_alpha 90.00
_cell_angle_beta 90.00
_cell_angle_gamma 90.00
loop_
_atom_site_label
_atom_site_type_symbol
_atom_site_fract_x
_atom_site_fract_y
_atom_site_fract_z
_atom_site_occupancy
Y1 Y 0.0000 0.0000 0.0000 1
Ta1 Ta 0.2500 0.2500 0.5000 1
Mo1 Mo 0.0000 0.5000 0.0000 1
```

---

[12]
Material: YTa2Mo
Method: DFT, GGA-PBE
State: relaxed

Output
* raw total energy: -10.0734 eV per atom
* DOS(E_F): 1.643 states/eV per atom
* E above lowest polymorph: 0.000 eV/atom

Structure (CIF):
```
data_YTa2Mo
_space_group_name_H-M_alt 'P 4/m m m'
_space_group_IT_number 123
_space_group_name_Hall '-P 4 2'
_cell_length_a 3.2788
_cell_length_b 3.2788
_cell_length_c 7.6101
_cell_angle_alpha 90.00
_cell_angle_beta 90.00
_cell_angle_gamma 90.00
loop_
_atom_site_label
_atom_site_type_symbol
_atom_site_fract_x
_atom_site_fract_y
_atom_site_fract_z
_atom_site_occupancy
Y1 Y 0.0000 0.0000 0.0000 1
Ta1 Ta 0.5000 0.5000 0.3042 1
Mo1 Mo 0.0000 0.0000 0.5000 1
```